No. 1
Here is a relaxed structure of Na12CaSn4 from Alexandria via LeMat-Bulk. Energies are from PBE.

a b c (Å): 9.6075 9.6075 9.6075
angles (deg): 109.47 109.47 109.47
Last column: nearest neighbours and their distance in Å.
Positions (direct):
Na 0.1516 0.3270 0.8246  2 Sn 3.02
Na 0.1754 0.5024 0.3270  2 Sn 3.02
Na 0.1754 0.8484 0.6730  2 Sn 3.02
Na 0.3270 0.1754 0.5024  2 Sn 3.02
Na 0.3270 0.8246 0.1516  2 Sn 3.02
Na 0.4976 0.6730 0.8246  2 Sn 3.02
Na 0.5024 0.3270 0.1754  2 Sn 3.02
Na 0.6730 0.1754 0.8484  2 Sn 3.02
Na 0.6730 0.8246 0.4976  2 Sn 3.02
Na 0.8246 0.1516 0.3270  2 Sn 3.02
Na 0.8246 0.4976 0.6730  2 Sn 3.02
Na 0.8484 0.6730 0.1754  2 Sn 3.02
Ca 0.0000 0.0000 0.0000  12 Na 4.12
Sn 0.0000 0.0000 0.5000  6 Na 3.02
Sn 0.0000 0.5000 0.0000  6 Na 3.02
Sn 0.5000 0.0000 0.0000  6 Na 3.02
Sn 0.5000 0.5000 0.5000  6 Na 3.02

Calculated values
Formation energy, meV per atom: 90

=====

No. 2
Here is a relaxed structure of Sr3P2Pd9Au from Alexandria via LeMat-Bulk. Energies are from PBE.

a b c (Å): 7.0994 7.0994 7.4392
angles (deg): 90.00 90.00 120.00
Last column: nearest neighbours and their distance in Å.
Positions (direct):
Sr 0.0000 0.0000 0.0000  12 Pd 3.34-3.55, 2 Au 3.72
Sr 0.3333 0.6667 0.6705  6 Pd 3.13-3.20, 1 P 3.47
Sr 0.6667 0.3333 0.3295  6 Pd 3.13-3.20, 1 P 3.47
P 0.3333 0.6667 0.1364  6 Pd 2.27-2.29
P 0.6667 0.3333 0.8636  6 Pd 2.27-2.29
Pd 0.0000 0.5000 0.0000  2 P 2.29
Pd 0.1881 0.3763 0.3247  1 P 2.27
Pd 0.1881 0.8119 0.3247  1 P 2.27
Pd 0.3763 0.1881 0.6753  1 P 2.27
Pd 0.5000 0.0000 0.0000  2 P 2.29
Pd 0.5000 0.5000 0.0000  2 P 2.29
Pd 0.6237 0.8119 0.3247  1 P 2.27
Pd 0.8119 0.1881 0.6753  1 P 2.27
Pd 0.8119 0.6237 0.6753  1 P 2.27
Au 0.0000 0.0000 0.5000  6 Pd 2.66

Calculated values
Formation energy, meV per atom: -519

=====

No. 3
Here is a relaxed structure of Pm3Si12Pd5 from Alexandria via LeMat-Bulk. Energies are from PBE.

a b c (Å): 13.1862 13.1862 13.1862
angles (deg): 109.47 109.47 109.47
Last column: nearest neighbours and their distance in Å.
Positions (direct):
Pm 0.1250 0.2500 0.3750  4 Si 2.94
Pm 0.1250 0.3750 0.7500  4 Si 2.94
Pm 0.2500 0.3750 0.1250  4 Si 2.94
Pm 0.2500 0.8750 0.6250  4 Si 2.94
Pm 0.3750 0.1250 0.2500  4 Si 2.94
Pm 0.3750 0.7500 0.1250  4 Si 2.94
Pm 0.6250 0.2500 0.8750  4 Si 2.94
Pm 0.6250 0.8750 0.7500  4 Si 2.94
Pm 0.7500 0.1250 0.3750  4 Si 2.94
Pm 0.7500 0.6250 0.8750  4 Si 2.94
Pm 0.8750 0.6250 0.2500  4 Si 2.94
Pm 0.8750 0.7500 0.6250  4 Si 2.94
Si 0.0010 0.1962 0.0589  2 Pd 2.32-2.43, 1 Si 2.43
Si 0.0010 0.3048 0.9421  2 Pd 2.32-2.43, 1 Si 2.43
Si 0.0579 0.5589 0.3627  2 Pd 2.32-2.43, 1 Si 2.43
Si 0.0579 0.9990 0.6952  2 Pd 2.32-2.43, 1 Si 2.43
Si 0.0589 0.0010 0.1962  2 Pd 2.32-2.43, 1 Si 2.43
Si 0.0589 0.5579 0.8627  2 Pd 2.32-2.43, 1 Si 2.43
Si 0.1373 0.6962 0.6952  2 Pd 2.32-2.43, 1 Si 2.43
Si 0.1373 0.9411 0.4421  2 Pd 2.32-2.43, 1 Si 2.43
Si 0.1952 0.1962 0.6373  2 Pd 2.32-2.43, 1 Si 2.43
Si 0.1952 0.4990 0.5579  2 Pd 2.32-2.43, 1 Si 2.43
Si 0.1962 0.0589 0.0010  2 Pd 2.32-2.43, 1 Si 2.43
Si 0.1962 0.6373 0.1952  2 Pd 2.32-2.43, 1 Si 2.43
Si 0.3038 0.3048 0.8627  2 Pd 2.32-2.43, 1 Si 2.43
Si 0.3038 0.4990 0.4411  2 Pd 2.32-2.43, 1 Si 2.43
Si 0.3048 0.8627 0.3038  2 Pd 2.32-2.43, 1 Si 2.43
Si 0.3048 0.9421 0.0010  2 Pd 2.32-2.43, 1 Si 2.43
Si 0.3627 0.0579 0.5589  2 Pd 2.32-2.43, 1 Si 2.43
Si 0.3627 0.8048 0.8038  2 Pd 2.32-2.43, 1 Si 2.43
Si 0.4411 0.3038 0.4990  2 Pd 2.32-2.43, 1 Si 2.43
Si 0.4411 0.6373 0.9421  2 Pd 2.32-2.43, 1 Si 2.43
Si 0.4421 0.1373 0.9411  2 Pd 2.32-2.43, 1 Si 2.43
Si 0.4421 0.8048 0.5010  2 Pd 2.32-2.43, 1 Si 2.43
Si 0.4990 0.4411 0.3038  2 Pd 2.32-2.43, 1 Si 2.43
Si 0.4990 0.5579 0.1952  2 Pd 2.32-2.43, 1 Si 2.43
Si 0.5010 0.4421 0.8048  2 Pd 2.32-2.43, 1 Si 2.43
Si 0.5010 0.5589 0.6962  2 Pd 2.32-2.43, 1 Si 2.43
Si 0.5579 0.1952 0.4990  2 Pd 2.32-2.43, 1 Si 2.43
Si 0.5579 0.8627 0.0589  2 Pd 2.32-2.43, 1 Si 2.43
Si 0.5589 0.3627 0.0579  2 Pd 2.32-2.43, 1 Si 2.43
Si 0.5589 0.6962 0.5010  2 Pd 2.32-2.43, 1 Si 2.43
Si 0.6373 0.1952 0.1962  2 Pd 2.32-2.43, 1 Si 2.43
Si 0.6373 0.9421 0.4411  2 Pd 2.32-2.43, 1 Si 2.43
Si 0.6952 0.0579 0.9990  2 Pd 2.32-2.43, 1 Si 2.43
Si 0.6952 0.1373 0.6962  2 Pd 2.32-2.43, 1 Si 2.43
Si 0.6962 0.5010 0.5589  2 Pd 2.32-2.43, 1 Si 2.43
Si 0.6962 0.6952 0.1373  2 Pd 2.32-2.43, 1 Si 2.43
Si 0.8038 0.3627 0.8048  2 Pd 2.32-2.43, 1 Si 2.43
Si 0.8038 0.9411 0.9990  2 Pd 2.32-2.43, 1 Si 2.43
Si 0.8048 0.5010 0.4421  2 Pd 2.32-2.43, 1 Si 2.43
Si 0.8048 0.8038 0.3627  2 Pd 2.32-2.43, 1 Si 2.43
Si 0.8627 0.0589 0.5579  2 Pd 2.32-2.43, 1 Si 2.43
Si 0.8627 0.3038 0.3048  2 Pd 2.32-2.43, 1 Si 2.43
Si 0.9411 0.4421 0.1373  2 Pd 2.32-2.43, 1 Si 2.43
Si 0.9411 0.9990 0.8038  2 Pd 2.32-2.43, 1 Si 2.43
Si 0.9421 0.0010 0.3048  2 Pd 2.32-2.43, 1 Si 2.43
Si 0.9421 0.4411 0.6373  2 Pd 2.32-2.43, 1 Si 2.43
Si 0.9990 0.6952 0.0579  2 Pd 2.32-2.43, 1 Si 2.43
Si 0.9990 0.8038 0.9411  2 Pd 2.32-2.43, 1 Si 2.43
Pd 0.0000 0.0000 0.0000  6 Si 2.43
Pd 0.0000 0.0000 0.5000  6 Si 2.43
Pd 0.0000 0.5000 0.0000  6 Si 2.43
Pd 0.0000 0.5000 0.5000  6 Si 2.43
Pd 0.1250 0.7500 0.8750  4 Si 2.32
Pd 0.1250 0.8750 0.2500  4 Si 2.32
Pd 0.2500 0.1250 0.8750  4 Si 2.32
Pd 0.2500 0.6250 0.3750  4 Si 2.32
Pd 0.3750 0.2500 0.6250  4 Si 2.32
Pd 0.3750 0.6250 0.7500  4 Si 2.32
Pd 0.5000 0.0000 0.0000  6 Si 2.43
Pd 0.5000 0.0000 0.5000  6 Si 2.43
Pd 0.5000 0.5000 0.0000  6 Si 2.43
Pd 0.5000 0.5000 0.5000  6 Si 2.43
Pd 0.6250 0.3750 0.2500  4 Si 2.32
Pd 0.6250 0.7500 0.3750  4 Si 2.32
Pd 0.7500 0.3750 0.6250  4 Si 2.32
Pd 0.7500 0.8750 0.1250  4 Si 2.32
Pd 0.8750 0.1250 0.7500  4 Si 2.32
Pd 0.8750 0.2500 0.1250  4 Si 2.32

Calculated values
E_form (uncorrected), eV/atom: -0.017

=====

No. 4
Here is a relaxed structure of KTbIn2 from Alexandria via LeMat-Bulk. Energies are from PBE.

a b c (Å): 3.8676 3.8676 8.5402
angles (deg): 90.00 90.00 90.00
Last column: nearest neighbours and their distance in Å.
Positions (direct):
K 0.0000 0.0000 0.0000  8 In 3.73, 4 K 3.87
Tb 0.0000 0.0000 0.5000  8 In 3.24
In 0.5000 0.5000 0.2976  4 Tb 3.24, 1 In 3.46
In 0.5000 0.5000 0.7024  4 Tb 3.24, 1 In 3.46

Calculated values
Formation energy, meV per atom: -233

=====

No. 5
Here is a relaxed structure of Li2MnRh2 from Alexandria via LeMat-Bulk. Energies are from PBE.

a b c (Å): 6.4849 6.4849 2.8140
angles (deg): 90.00 90.00 90.00
Last column: nearest neighbours and their distance in Å.
Positions (direct):
Li 0.1111 0.3889 0.0000  1 Li 2.04
Li 0.3889 0.8889 0.0000  1 Li 2.04
Li 0.6111 0.1111 0.0000  1 Li 2.04
Li 0.8889 0.6111 0.0000  1 Li 2.04
Mn 0.0000 0.0000 0.0000  4 Li 2.62, 8 Rh 2.74, 2 Mn 2.81
Mn 0.5000 0.5000 0.0000  4 Li 2.62, 8 Rh 2.74, 2 Mn 2.81
Rh 0.1921 0.6921 0.5000  6 Li 2.29-2.47
Rh 0.3079 0.1921 0.5000  6 Li 2.29-2.47
Rh 0.6921 0.8079 0.5000  6 Li 2.29-2.47
Rh 0.8079 0.3079 0.5000  6 Li 2.29-2.47

Calculated values
Formation energy, meV per atom: 249

=====

No. 6
Here is a relaxed structure of Ca3TeMo from Alexandria via LeMat-Bulk. Energies are from PBE.

a b c (Å): 5.4107 5.4107 5.4107
angles (deg): 90.00 90.00 90.00
Last column: nearest neighbours and their distance in Å.
Positions (direct):
Ca 0.0000 0.0000 0.5000  2 Mo 2.71
Ca 0.0000 0.5000 0.0000  2 Mo 2.71
Ca 0.5000 0.0000 0.0000  2 Mo 2.71
Te 0.5000 0.5000 0.5000  12 Ca 3.83
Mo 0.0000 0.0000 0.0000  6 Ca 2.71

Calculated values
E_form (uncorrected), eV/atom: 0.428

=====

No. 7
Here is a relaxed structure of TmPBr from Alexandria via LeMat-Bulk. Energies are from PBE.

a b c (Å): 3.9019 3.9019 12.3659
angles (deg): 90.00 90.00 120.00
Last column: nearest neighbours and their distance in Å.
Positions (direct):
Tm 0.3333 0.6667 0.3248  4 P 2.72-2.77, 3 Br 2.91
Tm 0.6667 0.3333 0.6752  4 P 2.72-2.77, 3 Br 2.91
P 0.3333 0.6667 0.5444  3 P 2.51, 4 Tm 2.72-2.77
P 0.6667 0.3333 0.4556  3 P 2.51, 4 Tm 2.72-2.77
Br 0.0000 0.0000 0.1765  3 Tm 2.91
Br 0.0000 0.0000 0.8235  3 Tm 2.91

Calculated values
E_form (uncorrected), eV/atom: -1.154

=====

No. 8
Here is a relaxed structure of BeSnAs2Br from Alexandria via LeMat-Bulk. Energies are from PBE.

a b c (Å): 5.3379 5.3379 5.4964
angles (deg): 90.00 90.00 90.00
Last column: nearest neighbours and their distance in Å.
Positions (direct):
Be 0.0000 0.0000 0.0000  4 Br 3.77, 8 As 3.83
Sn 0.5000 0.5000 0.5000  4 As 2.67, 2 Br 2.75
As 0.0000 0.5000 0.5000  2 Sn 2.67
As 0.5000 0.0000 0.5000  2 Sn 2.67
Br 0.5000 0.5000 0.0000  2 Sn 2.75

Calculated values
E_form (uncorrected), eV/atom: 1.100

=====

No. 9
Here is a relaxed structure of Zr3N2O3 from Alexandria via LeMat-Bulk. Energies are from PBE.

a b c (Å): 5.7836 5.7836 10.9090
angles (deg): 90.00 90.00 139.47
Last column: nearest neighbours and their distance in Å.
Positions (direct):
Zr 0.1348 0.8652 0.5000  2 N 2.07-2.26, 4 O 2.11-2.30
Zr 0.1377 0.8623 0.1145  3 N 2.07-2.16, 1 O 2.07
Zr 0.1846 0.8154 0.8091  4 O 2.10-2.29, 2 N 2.11-2.22
Zr 0.8154 0.1846 0.3091  4 O 2.10-2.29, 2 N 2.11-2.22
Zr 0.8623 0.1377 0.6145  3 N 2.07-2.16, 1 O 2.07
Zr 0.8652 0.1348 0.0000  2 N 2.07-2.26, 4 O 2.11-2.30
N 0.0484 0.9516 0.9467  3 Zr 2.07-2.11
N 0.2919 0.7081 0.6354  4 Zr 2.16-2.26
N 0.7081 0.2919 0.1354  4 Zr 2.16-2.26
N 0.9516 0.0484 0.4467  3 Zr 2.07-2.11
O 0.0425 0.9575 0.6780  3 Zr 2.07-2.19
O 0.2452 0.7548 0.3204  3 Zr 2.15-2.30
O 0.3094 0.6906 0.9784  3 Zr 2.11-2.29
O 0.6906 0.3094 0.4784  3 Zr 2.11-2.29
O 0.7548 0.2452 0.8204  3 Zr 2.15-2.30
O 0.9575 0.0425 0.1780  3 Zr 2.07-2.19

Calculated values
E_form (uncorrected), eV/atom: -2.494

=====

No. 10
Here is a relaxed structure of SrYMgAl2 from Alexandria via LeMat-Bulk. Energies are from PBE.

a b c (Å): 5.6596 5.6596 5.6978
angles (deg): 90.00 90.00 90.00
Last column: nearest neighbours and their distance in Å.
Positions (direct):
Sr 0.0000 0.0000 0.0000  4 Al 2.83, 2 Y 2.85
Y 0.0000 0.0000 0.5000  2 Sr 2.85
Mg 0.5000 0.5000 0.5000  4 Y 4.00, 8 Al 4.02
Al 0.0000 0.5000 0.0000  2 Sr 2.83
Al 0.5000 0.0000 0.0000  2 Sr 2.83

Calculated values
Formation energy, meV per atom: 1271